1.
Ni2SbHPt | PBE | optimized geometry

abc: 3.991 3.991 3.830
angles: 90.00 90.00 90.00
Sites, in units of the cell vectors:
H 0.000 0.000 0.000
Ni 0.000 0.500 0.000
Ni 0.500 0.000 0.000
Sb 0.500 0.500 0.500
Pt 0.000 0.000 0.500

The space group is P4/mmm. As for the total moment: 0.000 μB/atom. The total energy is -25.4 eV/cell. The density of states at the Fermi level comes out at 5.06 states/eV/f.u.

***

2.
Sc2Ni6HPt | PBE | optimized geometry

abc: 4.901 6.651 6.651
angles: 44.92 68.26 91.48
Sites, in units of the cell vectors:
Sc 0.811 0.232 0.421
Sc 0.189 0.768 0.579
Ni 0.284 0.336 0.532
H 0.000 0.000 0.000
Pt 0.500 0.500 0.000
Ni 0.284 0.815 0.052
Ni 0.186 0.198 0.012
Ni 0.716 0.664 0.468
Ni 0.716 0.185 0.948
Ni 0.814 0.802 0.988

The space group is C2/m. As for the total moment: 0.000 μB/atom. The total energy is -60.6 eV/cell. The density of states at the Fermi level comes out at 9.39 states/eV/f.u.

***

3.
ScNi2HPt | PBE | optimized geometry

abc: 3.861 3.861 3.905
angles: 90.00 90.00 90.00
Sites, in units of the cell vectors:
H 0.000 0.000 0.000
Ni 0.000 0.500 0.000
Pt 0.000 0.000 0.500
Ni 0.500 0.000 0.000
Sc 0.500 0.500 0.500

The space group is P4/mmm. As for the total moment: 0.000 μB/atom. The total energy is -30.0 eV/cell. The density of states at the Fermi level comes out at 0.37 states/eV/f.u.